(1)
# SrHfCo2

Crystalline SrHfCo2 at its relaxed geometry (GGA-PBE, Alexandria via LeMat-Bulk).

## Properties
The value obtained for the energy relative to the lowest polymorph listed for this composition is 0 meV per atom. Its density of states at the Fermi level is 2.6 states/eV/f.u. The total energy comes out at -6.092 eV/atom.

Cell lengths 4.6914, 4.6914, 4.6914 Å; angles 60.00, 60.00, 60.00 degrees
Last column: nearest neighbours and their distance in Å.
Fractional coordinates of all 4 atoms:
Sr 0.0000 0.0000 0.0000  8 Co 2.87
Hf 0.5000 0.5000 0.5000  8 Co 2.87
Co 0.2500 0.2500 0.2500  4 Hf 2.87, 4 Sr 2.87
Co 0.7500 0.7500 0.7500  4 Hf 2.87, 4 Sr 2.87

(2)
# SrHfCo3

Crystalline SrHfCo3 at its relaxed geometry (GGA-PBE, Alexandria via LeMat-Bulk).

## Properties
The value obtained for the energy relative to the lowest polymorph listed for this composition is 0 meV per atom. Its density of states at the Fermi level is 3.6 states/eV/f.u. The total energy comes out at -5.800 eV/atom.

Cell lengths 4.7124, 4.7124, 4.7124 Å; angles 90.00, 90.00, 90.00 degrees
Last column: nearest neighbours and their distance in Å.
Fractional coordinates of all 5 atoms:
Sr 0.0000 0.0000 0.0000  12 Co 3.33
Hf 0.5000 0.5000 0.5000  6 Co 2.36
Co 0.0000 0.5000 0.5000  2 Hf 2.36
Co 0.5000 0.0000 0.5000  2 Hf 2.36
Co 0.5000 0.5000 0.0000  2 Hf 2.36

(3)
# SrHf3Co

Crystalline SrHf3Co at its relaxed geometry (GGA-PBE, Alexandria via LeMat-Bulk).

## Properties
The value obtained for the energy relative to the lowest polymorph listed for this composition is 0 meV per atom. Its density of states at the Fermi level is 4.7 states/eV/f.u. The total energy comes out at -7.451 eV/atom.

Cell lengths 4.9694, 4.9694, 4.9694 Å; angles 90.00, 90.00, 90.00 degrees
Last column: nearest neighbours and their distance in Å.
Fractional coordinates of all 5 atoms:
Sr 0.0000 0.0000 0.0000  12 Hf 3.51
Hf 0.0000 0.5000 0.5000  2 Co 2.48
Hf 0.5000 0.0000 0.5000  2 Co 2.48
Hf 0.5000 0.5000 0.0000  2 Co 2.48
Co 0.5000 0.5000 0.5000  6 Hf 2.48

(4)
# Sr2HfCo

Crystalline Sr2HfCo at its relaxed geometry (GGA-PBE, Alexandria via LeMat-Bulk).

## Properties
The value obtained for the energy relative to the lowest polymorph listed for this composition is 506 meV per atom. Its density of states at the Fermi level is 6.9 states/eV/f.u. The total energy comes out at -4.056 eV/atom.

Cell lengths 5.4602, 5.4602, 5.4602 Å; angles 60.00, 60.00, 60.00 degrees
Last column: nearest neighbours and their distance in Å.
Fractional coordinates of all 4 atoms:
Sr 0.2500 0.2500 0.2500  4 Co 3.34, 4 Hf 3.34
Sr 0.7500 0.7500 0.7500  4 Co 3.34, 4 Hf 3.34
Hf 0.0000 0.0000 0.0000  8 Sr 3.34
Co 0.5000 0.5000 0.5000  8 Sr 3.34

(5)
# SrHfCo3

Crystalline SrHfCo3 at its relaxed geometry (GGA-PBE, Alexandria via LeMat-Bulk).

## Properties
The value obtained for the energy relative to the lowest polymorph listed for this composition is 1041 meV per atom. Its density of states at the Fermi level is 3.6 states/eV/f.u. The total energy comes out at -4.759 eV/atom.

Cell lengths 4.5902, 4.5902, 4.5902 Å; angles 90.00, 90.00, 90.00 degrees
Last column: nearest neighbours and their distance in Å.
Fractional coordinates of all 5 atoms:
Sr 0.0000 0.0000 0.0000  6 Co 2.30
Hf 0.5000 0.5000 0.5000  12 Co 3.25
Co 0.0000 0.0000 0.5000  2 Sr 2.30
Co 0.0000 0.5000 0.0000  2 Sr 2.30
Co 0.5000 0.0000 0.0000  2 Sr 2.30

(6)
# SrHfCoTe2

Crystalline SrHfCoTe2 at its relaxed geometry (GGA-PBE, Alexandria via LeMat-Bulk).

## Properties
As for the raw formation energy: 1.209 eV/atom. Its density of states at the Fermi level is 9.7 states/eV/f.u. The total energy comes out at -3.796 eV/atom.

Cell lengths 5.8213, 5.8213, 4.5160 Å; angles 90.00, 90.00, 90.00 degrees
Last column: nearest neighbours and their distance in Å.
Fractional coordinates of all 5 atoms:
Sr 0.0000 0.0000 0.0000  2 Co 2.26
Hf 0.5000 0.5000 0.5000  8 Te 3.68, 4 Co 4.12
Co 0.0000 0.0000 0.5000  2 Sr 2.26
Te 0.0000 0.5000 0.0000  2 Sr 2.91
Te 0.5000 0.0000 0.0000  2 Sr 2.91

(7)
# Sr2HfCoW

Crystalline Sr2HfCoW at its relaxed geometry (GGA-PBE, Alexandria via LeMat-Bulk).

## Properties
Its density of states at the Fermi level is 8.3 states/eV/f.u. The total energy comes out at -5.086 eV/atom.

Cell lengths 5.8881, 5.8881, 4.3815 Å; angles 90.00, 90.00, 90.00 degrees
Last column: nearest neighbours and their distance in Å.
Fractional coordinates of all 5 atoms:
Sr 0.0000 0.5000 0.0000  2 W 2.94
Sr 0.5000 0.0000 0.0000  2 W 2.94
Hf 0.0000 0.0000 0.5000  8 Sr 3.67
Co 0.5000 0.5000 0.5000  2 W 2.19
W 0.5000 0.5000 0.0000  2 Co 2.19

(8)
# HfTaCo2

Crystalline HfTaCo2 at its relaxed geometry (GGA-PBE, Alexandria via LeMat-Bulk).

## Properties
The value obtained for the energy relative to the lowest polymorph listed for this composition is 48 meV per atom. Its density of states at the Fermi level is 5.2 states/eV/f.u. The total energy comes out at -9.242 eV/atom.

Cell lengths 3.0399, 3.0399, 6.4967 Å; angles 90.00, 90.00, 90.00 degrees
Last column: nearest neighbours and their distance in Å.
Fractional coordinates of all 4 atoms:
Hf 0.0000 0.0000 0.0000  8 Co 2.80, 4 Hf 3.04
Ta 0.0000 0.0000 0.5000  8 Co 2.59
Co 0.5000 0.5000 0.2764  4 Ta 2.59, 4 Hf 2.80, 1 Co 2.91
Co 0.5000 0.5000 0.7236  4 Ta 2.59, 4 Hf 2.80, 1 Co 2.91

(9)
# HfTaCo2

Crystalline HfTaCo2 at its relaxed geometry (GGA-PBE, Alexandria via LeMat-Bulk).

## Properties
The value obtained for the energy relative to the lowest polymorph listed for this composition is 0 meV per atom. Its density of states at the Fermi level is 2.5 states/eV/f.u. The total energy comes out at -9.290 eV/atom.

Cell lengths 5.2213, 4.1101, 6.0979 Å; angles 90.00, 110.81, 90.00 degrees
Last column: nearest neighbours and their distance in Å.
Fractional coordinates of all 8 atoms:
Hf 0.1758 0.2500 0.4021  6 Co 2.64-2.80
Hf 0.8242 0.7500 0.5979  6 Co 2.64-2.80
Ta 0.3612 0.7500 0.1124  7 Co 2.44-2.70
Ta 0.6388 0.2500 0.8876  7 Co 2.44-2.70
Co 0.1219 0.2500 0.8894  4 Ta 2.52-2.70, 2 Hf 2.80, 2 Co 2.81
Co 0.3618 0.7500 0.7131  3 Ta 2.44-2.52, 1 Hf 2.64
Co 0.6382 0.2500 0.2869  3 Ta 2.44-2.52, 1 Hf 2.64
Co 0.8781 0.7500 0.1106  4 Ta 2.52-2.70, 2 Hf 2.80, 2 Co 2.81

(10)
# HfTa2Co2

Crystalline HfTa2Co2 at its relaxed geometry (GGA-PBE, Alexandria via LeMat-Bulk).

## Properties
The value obtained for the energy relative to the lowest polymorph listed for this composition is 197 meV per atom. Its density of states at the Fermi level is 6.2 states/eV/f.u. The total energy comes out at -9.524 eV/atom.

Cell lengths 7.5157, 7.5157, 2.8049 Å; angles 90.00, 90.00, 90.00 degrees
Last column: nearest neighbours and their distance in Å.
Fractional coordinates of all 10 atoms:
Hf 0.0000 0.0000 0.0000  2 Hf 2.80, 4 Ta 2.86
Hf 0.5000 0.5000 0.0000  2 Hf 2.80, 4 Ta 2.86
Ta 0.1506 0.3494 0.0000  6 Co 2.60-2.61, 2 Ta 2.80, 2 Hf 2.86
Ta 0.3494 0.8494 0.0000  6 Co 2.60-2.61, 2 Ta 2.80, 2 Hf 2.86
Ta 0.6506 0.1506 0.0000  6 Co 2.60-2.61, 2 Ta 2.80, 2 Hf 2.86
Ta 0.8494 0.6506 0.0000  6 Co 2.60-2.61, 2 Ta 2.80, 2 Hf 2.86
Co 0.1429 0.6429 0.5000  6 Ta 2.60-2.61, 2 Co 2.80
Co 0.3571 0.1429 0.5000  6 Ta 2.60-2.61, 2 Co 2.80
Co 0.6429 0.8571 0.5000  6 Ta 2.60-2.61, 2 Co 2.80
Co 0.8571 0.3571 0.5000  6 Ta 2.60-2.61, 2 Co 2.80

(11)
# HfTaCo

Crystalline HfTaCo at its relaxed geometry (GGA-PBE, Alexandria via LeMat-Bulk).

## Properties
The value obtained for the energy relative to the lowest polymorph listed for this composition is 0 meV per atom. Its density of states at the Fermi level is 3.3 states/eV/f.u. The total energy comes out at -9.888 eV/atom.

Cell lengths 9.9612, 9.2507, 5.1135 Å; angles 82.41, 67.00, 30.59 degrees
Last column: nearest neighbours and their distance in Å.
Fractional coordinates of all 12 atoms:
Hf 0.0409 0.7091 0.0409  4 Co 2.67, 3 Hf 2.92-2.96
Hf 0.2909 0.9591 0.2909  4 Co 2.67, 3 Hf 2.92-2.96
Hf 0.7091 0.0409 0.7091  4 Co 2.67, 3 Hf 2.92-2.96
Hf 0.9591 0.2909 0.9591  4 Co 2.67, 3 Hf 2.92-2.96
Ta 0.2943 0.2943 0.4557  4 Co 2.62-2.68, 1 Ta 2.87
Ta 0.4557 0.4557 0.2943  4 Co 2.62-2.68, 1 Ta 2.87
Ta 0.5443 0.5443 0.7057  4 Co 2.62-2.68, 1 Ta 2.87
Ta 0.7057 0.7057 0.5443  4 Co 2.62-2.68, 1 Ta 2.87
Co 0.0003 0.0003 0.2497  2 Co 2.56, 4 Ta 2.62-2.68, 4 Hf 2.67
Co 0.9997 0.9997 0.7503  2 Co 2.56, 4 Ta 2.62-2.68, 4 Hf 2.67
Co 0.2497 0.2497 0.0003  2 Co 2.56, 4 Ta 2.62-2.68, 4 Hf 2.67
Co 0.7503 0.7503 0.9997  2 Co 2.56, 4 Ta 2.62-2.68, 4 Hf 2.67

(12)
# HfTa2Co

Crystalline HfTa2Co at its relaxed geometry (GGA-PBE, Alexandria via LeMat-Bulk).

## Properties
The value obtained for the energy relative to the lowest polymorph listed for this composition is 289 meV per atom. Its density of states at the Fermi level is 5.4 states/eV/f.u. The total energy comes out at -9.718 eV/atom.

Cell lengths 10.5046, 10.5046, 10.5046 Å; angles 159.24, 159.24, 29.52 degrees
Last column: nearest neighbours and their distance in Å.
Fractional coordinates of all 8 atoms:
Hf 0.0000 0.0000 0.0000  4 Co 2.68, 4 Ta 2.87
Hf 0.7500 0.2500 0.5000  4 Co 2.68, 4 Ta 2.87
Ta 0.1284 0.6250 0.0034  4 Ta 2.66-2.69, 2 Co 2.87, 2 Hf 2.87
Ta 0.3750 0.3784 0.5034  4 Ta 2.66-2.69, 2 Co 2.87, 2 Hf 2.87
Ta 0.6216 0.1250 0.9966  4 Ta 2.66-2.69, 2 Co 2.87, 2 Hf 2.87
Ta 0.8750 0.8716 0.4966  4 Ta 2.66-2.69, 2 Co 2.87, 2 Hf 2.87
Co 0.2500 0.7500 0.5000  4 Hf 2.68, 4 Ta 2.87
Co 0.5000 0.5000 0.0000  4 Hf 2.68, 4 Ta 2.87